Below is a geometry-optimized Zn4CdPd5 structure, with properties calculated at the PBE-GGA level.

Computed properties:
The value obtained for the spin magnetization is 0.00 μB/f.u. The formation energy comes out at -0.52 eV/atom. The calculation puts the calculated total energy at -3.720 eV per atom.

```
data_Zn4CdPd5
_cell_length_a 3.047
_cell_length_b 3.047
_cell_length_c 16.213
_cell_angle_alpha 90.00
_cell_angle_beta 90.00
_cell_angle_gamma 90.00
_space_group_name_H-M_alt 'P 4/m m m'
_space_group_IT_number 123
_space_group_name_Hall '-P 4 2'
loop_
_atom_site_label
_atom_site_fract_x
_atom_site_fract_y
_atom_site_fract_z
Zn1 0.000 0.000 0.095
Zn2 0.000 0.000 0.287
Cd1 0.000 0.000 0.500
Pd1 0.500 0.500 0.000
Pd2 0.500 0.500 0.190
Pd3 0.500 0.500 0.380
```


Below is a geometry-optimized Zn2CdPd9 structure, with properties calculated at the PBE-GGA level.

Computed properties:
The value obtained for the spin magnetization is 0.00 μB/f.u. The formation energy comes out at -0.27 eV/atom. The calculation puts the calculated total energy at -4.453 eV per atom.

```
data_Zn2CdPd9
_cell_length_a 3.971
_cell_length_b 3.971
_cell_length_c 11.760
_cell_angle_alpha 90.00
_cell_angle_beta 90.00
_cell_angle_gamma 90.00
_space_group_name_H-M_alt 'P 4/m m m'
_space_group_IT_number 123
_space_group_name_Hall '-P 4 2'
loop_
_atom_site_label
_atom_site_fract_x
_atom_site_fract_y
_atom_site_fract_z
Zn1 0.000 0.000 0.162
Cd1 0.000 0.000 0.500
Pd1 0.000 0.500 0.000
Pd2 0.000 0.500 0.324
Pd3 0.500 0.500 0.162
Pd4 0.500 0.500 0.500
```


Below is a geometry-optimized Zn6CdPd12 structure, with properties calculated at the PBE-GGA level.

Computed properties:
The value obtained for the spin magnetization is 0.00 μB/f.u. The formation energy comes out at -0.22 eV/atom. The calculation puts the calculated total energy at -3.954 eV per atom.

```
data_Zn6CdPd12
_cell_length_a 11.2611
_cell_length_b 11.2611
_cell_length_c 8.3443
_cell_angle_alpha 90.00
_cell_angle_beta 90.00
_cell_angle_gamma 120.00
_space_group_name_H-M_alt 'R -3 m'
_space_group_IT_number 166
_space_group_name_Hall '-R 3 2"'
loop_
_atom_site_label
_atom_site_fract_x
_atom_site_fract_y
_atom_site_fract_z
Zn1 0.0947 0.1894 0.2465
Cd1 0.0000 0.0000 0.5000
Pd1 0.0000 0.2619 0.5000
Pd2 0.0937 0.5468 0.6017
```


Below is a geometry-optimized ZnCdPd6 structure, with properties calculated at the PBE-GGA level.

Computed properties:
The calculation puts the distance to the lowest polymorph of the same formula at 0.027 eV/atom. The value obtained for the spin magnetization is 0.00 μB/f.u. The formation energy comes out at -0.26 eV/atom. The calculation puts the calculated total energy at -4.428 eV per atom.

```
data_ZnCdPd6
_cell_length_a 3.991
_cell_length_b 3.991
_cell_length_c 7.878
_cell_angle_alpha 90.00
_cell_angle_beta 90.00
_cell_angle_gamma 90.00
_space_group_name_H-M_alt 'P 4/m m m'
_space_group_IT_number 123
_space_group_name_Hall '-P 4 2'
loop_
_atom_site_label
_atom_site_fract_x
_atom_site_fract_y
_atom_site_fract_z
Zn1 0.000 0.000 0.000
Cd1 0.000 0.000 0.500
Pd1 0.000 0.500 0.239
Pd2 0.500 0.500 0.000
Pd3 0.500 0.500 0.500
```